DFT (PBE) results for an optimized crystal structure of TiInTcRu2.

The structure in POSCAR format:
```
TiInTcRu2
1.0
4.7939 0.0000 0.0000
0.0000 4.7939 0.0000
0.0000 0.0000 4.8551
Ti In Tc Ru
1 1 1 2
direct
0.0000 0.0000 0.0000
0.5000 0.5000 0.5000
0.5000 0.5000 0.0000
0.0000 0.5000 0.5000
0.5000 0.0000 0.5000
```

Calculated total energy = -5.9557 eV per atom
E_form = 1955 meV/atom
Calculated density = 6.89 Mg/m³
Magnetization = 3.708 μB per formula unit